Record 1
Material: Tb3SmPu2S6
Method: DFT, PBE
State: relaxed

Calculated values
M_tot   11.43 μB/cell
Total DFT energy (no corrections)   -7.959 eV per atom
Calculated density   8.30 Mg/m³

The structure in extended XYZ format:
```
12
Lattice="3.4140 -5.9158 0.0000 3.4140 5.9158 0.0000 -2.2727 0.0000 6.4758" Properties=species:S:1:pos:R:3 pbc="T T T"
Tb 0.0000 0.0000 0.0000
Tb 3.4140 1.9587 0.0000
Tb 3.4140 -1.9587 0.0000
Sm 2.2776 0.0000 3.2379
Pu 2.2776 3.9428 3.2379
Pu 2.2776 -3.9428 3.2379
S 1.1262 1.9922 1.5944
S -0.0217 0.0000 4.8807
S 1.1262 -1.9922 1.5944
S 3.4290 1.9922 4.8813
S 4.5769 0.0000 1.5951
S 3.4290 -1.9922 4.8813
```

***

Record 2
Material: SmPuTe2S
Method: DFT, PBE
State: relaxed

Calculated values
M_tot   0.09 μB/cell
Total DFT energy (no corrections)   -6.785 eV per atom
Calculated density   7.84 Mg/m³

The structure in extended XYZ format:
```
10
Lattice="4.3658 0.0000 0.0000 0.0000 4.3658 0.0000 0.0000 0.0000 15.1428" Properties=species:S:1:pos:R:3 pbc="T T T"
Sm 1.0914 1.0914 1.4590
Sm 3.2743 3.2743 13.6839
Pu 1.0914 1.0914 9.1301
Pu 3.2743 3.2743 6.0127
Te 1.0914 1.0914 4.6077
Te 1.0914 1.0914 13.3861
Te 3.2743 3.2743 1.7567
Te 3.2743 3.2743 10.5351
S 1.0914 3.2743 7.5714
S 3.2743 1.0914 7.5714
```